Entry 1:
Material: MnCd3Ag
Method: DFT, PBE
State: optimized geometry

Values from the calculation:
Crystal system: cubic
Relative energy among the computed polymorphs in kcal/mol of atoms: 0.00
Energy of formation from the pure elements in meV per atom: 670

a b c (Å): 5.1527 5.1527 5.1527
angles (deg): 90.00 90.00 90.00
Last column: magnetic moment on the atom in μB.
Fractional positions:
Mn  0.0000  0.0000  0.0000  3.50
Cd  0.0000  0.5000  0.0000  0.02
Cd  0.0000  0.0000  0.5000  0.01
Cd  0.5000  0.0000  0.0000  -0.01
Ag  0.5000  0.5000  0.5000  0.03

Entry 2:
Material: Na3La3AlTe8
Method: DFT, PBE
State: optimized geometry

Values from the calculation:
Formation energy (no corrections) in eV/atom: -1.0884
Crystal system: trigonal

a b c (Å): 9.1222 9.1223 9.1691
angles (deg): 119.83 90.00 120.00
Fractional positions:
Na  0.0000  0.0000  0.0000
Na  0.0000  0.5000  0.0000
Na  0.5000  0.5000  0.0000
Al  0.0000  0.0000  0.5000
La  0.0000  0.5000  0.5000
La  0.5000  0.5000  0.5000
La  0.5000  0.0000  0.5000
Te  0.7752  0.9981  0.7210
Te  0.7771  0.5541  0.2790
Te  0.7771  0.0019  0.2790
Te  0.2229  0.9981  0.7210
Te  0.2229  0.4459  0.7210
Te  0.2517  0.5035  0.2552
Te  0.7483  0.4965  0.7448
Te  0.2248  0.0019  0.2790

Entry 3:
Material: Tm3Zn8Cd3
Method: DFT, PBE
State: optimized geometry

Values from the calculation:
Crystal system: orthorhombic
Energy of formation from the pure elements in meV per atom: -268

a b c (Å): 4.4326 8.3314 8.3314
angles (deg): 66.77 74.57 74.57
Fractional positions:
Zn  0.6472  0.6232  0.0823
Zn  0.1658  0.4674  0.2010
Zn  0.8342  0.7990  0.5326
Zn  0.8342  0.5326  0.7990
Zn  0.1658  0.2010  0.4674
Zn  0.3528  0.3768  0.9177
Zn  0.6472  0.0823  0.6232
Zn  0.3528  0.9177  0.3768
Tm  0.7918  0.2082  0.2082
Tm  0.2082  0.7918  0.7918
Tm  0.5000  0.5000  0.5000
Cd  0.0000  0.2039  0.7961
Cd  0.0000  0.7961  0.2039
Cd  0.5000  0.0000  0.0000

Entry 4:
Material: Li2FeTeMo
Method: DFT, PBE
State: optimized geometry

Values from the calculation:
Formation energy (no corrections) in eV/atom: 1.0660
Crystal system: tetragonal

a b c (Å): 4.8956 4.3564 4.8956
angles (deg): 90.00 90.00 90.00
Last column: magnetic moment on the atom in μB.
Fractional positions:
Te  0.5000  0.5000  0.5000  0.02
Li  0.5000  0.0000  0.0000  0.06
Li  0.0000  0.0000  0.5000  0.04
Mo  0.0000  0.0000  0.0000  1.09
Fe  0.0000  0.5000  0.0000  1.45

Entry 5:
Material: HoCuH2O4
Method: DFT, PBE
State: optimized geometry

Values from the calculation:
E_tot in eV per atom: -5.90
Crystal system: orthorhombic

a b c (Å): 4.6912 4.6458 4.6458
angles (deg): 70.84 59.68 59.68
Fractional positions:
H  0.1975  0.3025  0.3025
H  0.8025  0.6975  0.6975
O  0.4227  0.1822  0.4142
O  0.9809  0.4142  0.1822
O  0.5773  0.5858  0.8178
O  0.0191  0.8178  0.5858
Cu  0.5000  0.5000  0.5000
Ho  0.0000  0.0000  0.0000

Entry 6:
Material: NaLiMgI4
Method: DFT, PBE
State: optimized geometry

Values from the calculation:
Formation energy (no corrections) in eV/atom: -1.1217
Crystal system: orthorhombic

a b c (Å): 8.8170 8.8973 8.8973
angles (deg): 59.91 60.30 60.30
Fractional positions:
I  0.2299  0.2701  0.2701
I  0.2308  0.2528  0.7528
I  0.7636  0.2528  0.7528
I  0.7701  0.2299  0.2299
I  0.2299  0.7701  0.7701
I  0.2364  0.7472  0.2472
I  0.7692  0.7472  0.2472
I  0.7701  0.7299  0.7299
Na  0.5000  0.0000  0.5000
Na  0.0000  0.0000  0.5000
Li  0.3600  0.3900  0.8900
Li  0.6400  0.6100  0.1100
Mg  0.0000  0.0000  0.0000
Mg  0.0000  0.5000  0.5000

Entry 7:
Material: KRb2TcH6
Method: DFT, PBE
State: optimized geometry

Values from the calculation:
E_tot in eV per atom: -3.43
Crystal system: orthorhombic

a b c (Å): 6.1903 6.1903 6.1635
angles (deg): 60.14 60.14 90.16
Last column: magnetic moment on the atom in μB.
Fractional positions:
H  0.7042  0.2958  0.0000  -0.01
H  0.2958  0.7042  0.0000  -0.01
H  0.2919  0.2919  0.4101  -0.01
H  0.7081  0.7081  0.9938  -0.01
H  0.7081  0.7081  0.5899  -0.01
H  0.2919  0.2919  0.0062  -0.01
Rb  0.2490  0.7510  0.5000  0.01
Rb  0.7510  0.2490  0.5000  0.01
K  0.0000  0.0000  0.0000  -0.01
Tc  0.5000  0.5000  0.0000  1.76

Entry 8:
Material: Ac3Pm2Pb3
Method: DFT, PBE
State: optimized geometry

Values from the calculation:
Crystal system: hexagonal
Relative energy among the computed polymorphs in kcal/mol of atoms: 0.00
Energy of formation from the pure elements in meV per atom: -511

a b c (Å): 7.0184 9.7801 9.7801
angles (deg): 120.00 90.00 90.00
Fractional positions:
Pm  0.5000  0.3333  0.6667
Pm  0.5000  0.6667  0.3333
Pm  0.0000  0.3333  0.6667
Pm  0.0000  0.6667  0.3333
Pb  0.7500  0.6003  0.0000
Pb  0.2500  0.6003  0.6003
Pb  0.7500  0.3997  0.3997
Pb  0.2500  0.0000  0.3997
Pb  0.2500  0.3997  0.0000
Pb  0.7500  0.0000  0.6003
Ac  0.7500  0.2451  0.0000
Ac  0.2500  0.7549  0.0000
Ac  0.2500  0.0000  0.7549
Ac  0.7500  0.7549  0.7549
Ac  0.7500  0.0000  0.2451
Ac  0.2500  0.2451  0.2451

Entry 9:
Material: AcLa4Y7
Method: DFT, PBE
State: optimized geometry

Values from the calculation:
Crystal system: monoclinic
Energy of formation from the pure elements in meV per atom: 282

a b c (Å): 6.1341 11.8902 6.9375
angles (deg): 84.39 63.76 75.05
Fractional positions:
La  0.6269  0.2268  0.5194
La  0.2916  0.2968  0.1201
La  0.3731  0.7732  0.4806
La  0.7084  0.7032  0.8799
Y  0.9631  0.3715  0.7023
Y  0.2124  0.0824  0.4927
Y  0.5000  0.0000  0.0000
Y  0.6462  0.4838  0.2238
Y  0.0369  0.6285  0.2977
Y  0.3538  0.5162  0.7762
Y  0.7876  0.9176  0.5073
Ac  0.0000  0.0000  0.0000

Entry 10:
Material: Ce2ErTe
Method: DFT, PBE
State: optimized geometry

Values from the calculation:
Formation energy (no corrections) in eV/atom: -0.2203
Crystal system: cubic
Relative energy among the computed polymorphs in kcal/mol of atoms: 6.87

a b c (Å): 5.4419 5.4419 5.4425
angles (deg): 60.00 60.00 60.00
Last column: magnetic moment on the atom in μB.
Fractional positions:
Ce  0.7501  0.7501  0.7498  0.65
Ce  0.2499  0.2499  0.2502  0.65
Er  0.5000  0.5000  0.5000  0.37
Te  0.0000  0.0000  0.0000  -0.01

Entry 11:
Material: La3Pt4Au2
Method: DFT, PBE
State: optimized geometry

Values from the calculation:
Crystal system: monoclinic
Energy of formation from the pure elements in meV per atom: -952

a b c (Å): 4.2596 6.2958 9.3681
angles (deg): 114.96 90.00 109.77
Fractional positions:
La  0.6439  0.2879  0.6916
La  0.3561  0.7121  0.3084
La  0.0000  0.0000  0.0000
Pt  0.9306  0.8612  0.5796
Pt  0.2953  0.5907  0.9485
Pt  0.7047  0.4093  0.0515
Pt  0.0694  0.1388  0.4204
Au  0.3527  0.7054  0.6949
Au  0.6473  0.2946  0.3051

Entry 12:
Material: Ti5In2Co2Tc
Method: DFT, PBE
State: optimized geometry

Values from the calculation:
Crystal system: tetragonal
Energy of formation from the pure elements in meV per atom: -268

a b c (Å): 3.0831 10.2908 10.2908
angles (deg): 90.00 90.00 90.00
Fractional positions:
Ti  0.5000  0.6986  0.4358
Ti  0.5000  0.8014  0.9358
Ti  0.5000  0.5642  0.6986
Ti  0.5000  0.1986  0.0642
Ti  0.5000  0.3014  0.5642
Ti  0.5000  0.9358  0.1986
Ti  0.5000  0.4358  0.3014
Ti  0.5000  0.0000  0.5000
Ti  0.5000  0.5000  0.0000
Ti  0.5000  0.0642  0.8014
In  0.0000  0.3245  0.8245
In  0.0000  0.1755  0.3245
In  0.0000  0.8245  0.6755
In  0.0000  0.6755  0.1755
Tc  0.0000  0.5000  0.5000
Tc  0.0000  0.0000  0.0000
Co  0.0000  0.1293  0.6293
Co  0.0000  0.6293  0.8707
Co  0.0000  0.3707  0.1293
Co  0.0000  0.8707  0.3707

Entry 13:
Material: BaPt
Method: DFT, PBE
State: optimized geometry

Values from the calculation:
Crystal system: trigonal
Energy of formation from the pure elements in meV per atom: -227

a b c (Å): 4.3800 4.3800 9.3118
angles (deg): 90.00 90.00 120.00
Fractional positions:
Ba  0.3333  0.6667  0.3557
Ba  0.0000  0.0000  0.8943
Pt  0.3333  0.6667  0.6792
Pt  0.0000  0.0000  0.5708

Entry 14:
Material: Y3TlAg
Method: DFT, PBE
State: optimized geometry

Values from the calculation:
Crystal system: cubic
Relative energy among the computed polymorphs in kcal/mol of atoms: 10.34
Energy of formation from the pure elements in meV per atom: 179

a b c (Å): 5.5109 5.5109 5.5109
angles (deg): 90.00 90.00 90.00
Fractional positions:
Y  0.5000  0.0000  0.0000
Y  0.0000  0.0000  0.5000
Y  0.0000  0.5000  0.0000
Ag  0.0000  0.0000  0.0000
Tl  0.5000  0.5000  0.5000

Entry 15:
Material: VReSe2N
Method: DFT, PBE
State: optimized geometry

Values from the calculation:
Formation energy (no corrections) in eV/atom: 0.7021
Crystal system: tetragonal
Relative energy among the computed polymorphs in kcal/mol of atoms: 0.00

a b c (Å): 5.0383 5.0383 3.7081
angles (deg): 90.00 90.00 90.00
Last column: magnetic moment on the atom in μB.
Fractional positions:
Re  0.0000  0.0000  0.0000  -0.27
V  0.5000  0.5000  0.5000  0.09
Se  0.0000  0.5000  0.0000  0.01
Se  0.5000  0.0000  0.0000  0.01
N  0.0000  0.0000  0.5000  0.02

Entry 16:
Material: NaCrIn2Sn
Method: DFT, PBE
State: optimized geometry

Values from the calculation:
Crystal system: tetragonal
Energy of formation from the pure elements in meV per atom: 533

a b c (Å): 5.2393 5.4187 5.2393
angles (deg): 90.00 90.00 90.00
Last column: magnetic moment on the atom in μB.
Fractional positions:
Sn  0.5000  0.5000  0.5000  -0.14
In  0.5000  0.0000  0.0000  -0.05
In  0.0000  0.0000  0.5000  0.03
Cr  0.0000  0.0000  0.0000  3.61
Na  0.0000  0.5000  0.0000  0.03

Entry 17:
Material: Pr2MgHg5
Method: DFT, PBE
State: optimized geometry

Values from the calculation:
Crystal system: tetragonal
Energy of formation from the pure elements in meV per atom: -341

a b c (Å): 6.4938 6.4938 6.4938
angles (deg): 103.45 112.57 112.57
Fractional positions:
Hg  0.0000  0.3131  0.7454
Hg  0.4324  0.7454  0.7454
Hg  0.5676  0.3131  0.3131
Hg  0.0000  0.7454  0.3131
Hg  0.0000  0.2201  0.2201
Pr  0.5000  0.2769  0.7769
Pr  0.5000  0.7769  0.2769
Mg  0.0000  0.8312  0.8312

Entry 18:
Material: Ce2GeSe
Method: DFT, PBE
State: optimized geometry

Values from the calculation:
Formation energy (no corrections) in eV/atom: -1.1746
Crystal system: trigonal
Relative energy among the computed polymorphs in kcal/mol of atoms: 3.08

a b c (Å): 4.1617 4.1617 7.7246
angles (deg): 74.37 74.37 60.00
Last column: magnetic moment on the atom in μB.
Fractional positions:
Ce  0.2552  0.2552  0.2345  0.81
Ce  0.0785  0.0785  0.7645  0.71
Ge  0.6684  0.6684  0.9949  -0.04
Se  0.4980  0.4980  0.5060  -0.03

Entry 19:
Material: Tc2AgMo
Method: DFT, PBE
State: optimized geometry

Values from the calculation:
Crystal system: tetragonal
Relative energy among the computed polymorphs in kcal/mol of atoms: 14.86
Energy of formation from the pure elements in meV per atom: 914

a b c (Å): 7.1506 7.1506 5.7355
angles (deg): 51.44 51.44 90.00
Fractional positions:
Mo  0.5000  0.5000  0.0000
Mo  0.2500  0.7500  0.5000
Tc  0.3750  0.4097  0.7500
Tc  0.1597  0.6250  0.2500
Tc  0.8750  0.8403  0.7500
Tc  0.5903  0.1250  0.2500
Ag  0.0000  0.0000  0.0000
Ag  0.7500  0.2500  0.5000

Entry 20:
Material: Pm12Pt6N
Method: DFT, PBE
State: optimized geometry

Values from the calculation:
Formation energy (no corrections) in eV/atom: -0.8426
Crystal system: trigonal

a b c (Å): 8.2509 8.2509 8.2509
angles (deg): 98.28 98.28 98.28
Fractional positions:
Pm  0.9645  0.3035  0.0749
Pm  0.0749  0.9645  0.3035
Pm  0.4196  0.5827  0.1782
Pm  0.0355  0.6965  0.9251
Pm  0.8218  0.5804  0.4173
Pm  0.6965  0.9251  0.0355
Pm  0.4173  0.8218  0.5804
Pm  0.5804  0.4173  0.8218
Pm  0.5827  0.1782  0.4196
Pm  0.3035  0.0749  0.9645
Pm  0.9251  0.0355  0.6965
Pm  0.1782  0.4196  0.5827
Pt  0.1285  0.6220  0.3018
Pt  0.8715  0.3780  0.6982
Pt  0.3018  0.1285  0.6220
Pt  0.6220  0.3018  0.1285
Pt  0.6982  0.8715  0.3780
Pt  0.3780  0.6982  0.8715
N  0.0000  0.0000  0.0000